Entry from Alexandria: an optimized crystal structure of KOsRh2 (PBE).

Calculated values
Its calculated volume is 20.47 Å³ per atom. As for the crystal system: monoclinic. The formation energy comes out at 271 kJ/mol of formula units. The calculation puts the relative energy among the computed polymorphs at 263.5 meV/atom.

```
KOsRh2
1.0
4.568 -1.382 0.000
4.568 1.382 0.000
-0.859 0.000 6.487
K Os Rh
1 1 2
direct
0.000 0.000 0.000
0.775 0.775 0.377
0.228 0.228 0.686
0.505 0.505 0.477
```

Entry from Alexandria: an optimized crystal structure of CdAsN2 (PBE).

Calculated values
Its calculated volume is 12.56 Å³ per atom. As for the crystal system: cubic. The calculation puts the relative energy among the computed polymorphs at 986.4 meV/atom. As for the formation energy (no corrections): 1.5541 eV/atom.

```
CdAsN2
1.0
0.000 2.929 2.929
2.929 0.000 2.929
2.929 2.929 0.000
Cd As N
1 1 2
direct
0.000 0.000 0.000
0.500 0.500 0.500
0.250 0.250 0.250
0.750 0.750 0.750
```

Entry from Alexandria: an optimized crystal structure of Li4ZnPt (PBE).

Calculated values
Its calculated volume is 14.23 Å³ per atom. As for the crystal system: monoclinic. The formation energy comes out at -214 kJ/mol of formula units. The calculation puts the relative energy among the computed polymorphs at 0.0 meV/atom.

```
Li4ZnPt
1.0
3.337 -3.769 0.000
3.337 3.769 0.000
-2.770 0.000 3.393
Li Zn Pt
4 1 1
direct
0.078 0.410 0.245
0.410 0.078 0.245
0.590 0.922 0.755
0.922 0.590 0.755
0.500 0.500 0.000
0.000 0.000 0.500
```